A relaxed structure of Ac3Ag2Pb4, computed with PBE-GGA.

extended XYZ file:
```
9
Lattice="6.194 -2.502 0.000 6.194 2.502 0.000 -2.836 0.000 9.185" Properties=species:S:1:pos:R:3 pbc="T T T"
Ac 0.000 0.000 0.000
Ac 3.667 0.000 2.839
Ac 5.886 0.000 6.346
Ag 2.010 0.000 5.719
Ag 7.542 0.000 3.466
Pb -0.169 0.000 3.547
Pb 1.051 0.000 8.512
Pb 8.501 0.000 0.673
Pb 9.721 0.000 5.638
```

Summary:
DOS(E_F)	3.81	states/eV per cell
magnetic moment	0.0	μB/cell
crystal system	monoclinic
ΔE_f	-0.421	eV per atom
final energy	-36.65	eV for the cell shown

A relaxed structure of NbV3Sb, computed with PBE-GGA.

extended XYZ file:
```
5
Lattice="4.740 0.000 0.000 0.000 4.740 0.000 0.000 0.000 4.740" Properties=species:S:1:pos:R:3 pbc="T T T"
Nb 0.000 0.000 0.000
V 0.000 2.370 2.370
V 2.370 0.000 2.370
V 2.370 2.370 0.000
Sb 2.370 2.370 2.370
```

Summary:
DOS(E_F)	7.37	states/eV per cell
E_form (uncorrected)	1539	meV/atom
magnetic moment	2.1	μB/cell
crystal system	cubic
final energy	-33.85	eV for the cell shown